VASP calculation (PBE) on an optimized crystal structure of CeTmCd14.

Cell lengths 6.6396, 6.6396, 8.4518 Å; angles 90.00, 90.00, 90.00 degrees
Each line ends with the local moment (μB).
Sites, in units of the cell vectors:
1 Tm 0.8750 0.8750 0.5000  -0.01
2 Ce 0.3750 0.3750 0.5000  0.87
3 Cd 0.1208 0.1208 0.2402  0.00
4 Cd 0.8750 0.3750 0.0000  0.00
5 Cd 0.1208 0.6292 0.2402  0.00
6 Cd 0.6292 0.1208 0.7598  0.00
7 Cd 0.3750 0.8750 0.0000  0.00
8 Cd 0.8750 0.8750 0.0000  0.00
9 Cd 0.1208 0.6292 0.7598  0.00
10 Cd 0.8750 0.3750 0.5000  0.01
11 Cd 0.3750 0.8750 0.5000  0.01
12 Cd 0.3750 0.3750 0.0000  0.00
13 Cd 0.1208 0.1208 0.7598  0.00
14 Cd 0.6292 0.6292 0.2401  0.00
15 Cd 0.6292 0.1208 0.2402  0.00
16 Cd 0.6292 0.6292 0.7599  0.00

**Energy relative to the elements**: -0.109 eV per atom
**DOS(E_F)**: 10.538 states/eV/cell

VASP calculation (PBE) on an optimized crystal structure of Tb2PrTm.

Cell lengths 5.0831, 5.0532, 5.0532 Å; angles 90.00, 90.00, 90.00 degrees
Sites, in units of the cell vectors:
1 Tb 0.0000 0.5000 0.0000
2 Tb 0.0000 0.0000 0.5000
3 Tm 0.5000 0.5000 0.5000
4 Pr 0.5000 0.0000 0.0000

**Energy relative to the elements**: 0.023 eV per atom
**Distance to the lowest polymorph of the same formula**: 1 meV/atom
**DOS(E_F)**: 6.203 states/eV/cell